Entry 1:
4
Lattice="4.5083 3.8850 2.3618 6.3272 0.9810 -0.0067 4.4482 4.2442 -1.7877" Properties=species:S:1:pos:R:3 comment="CdS2O | the Alexandria database | PBE | relaxed" dos_at_fermi_per_ev_atom=0.2889 relative_energy_ev_per_atom=0.000 vol_a3_per_atom=22.29 final_energy_ev_per_cell=-13.98 space_group=R-3m rho_g_cm3=3.59 m_tot_mub_per_atom=0.000 pbc="T T T"
S 13.8448 8.2525 0.5139
S 1.4389 0.8577 0.0534
O 0.0000 0.0000 0.0000
Cd 7.6418 4.5551 0.2836

***

Entry 2:
3
Lattice="-0.0857 0.7816 -2.8581 -1.2790 -2.5232 0.8856 -5.7916 3.3150 1.0803" Properties=species:S:1:pos:R:3 comment="ZrZnIr | the Alexandria database | PBE | relaxed" dos_at_fermi_per_ev_atom=0.6435 vol_a3_per_atom=17.15 final_energy_ev_per_cell=-19.17 space_group=P3m1 rho_g_cm3=11.26 m_tot_mub_per_atom=0.000 pbc="T T T"
Ir -0.0645 0.0369 0.0120
Zn -2.7076 -0.3763 -0.0217
Zr -4.3843 1.9127 -0.8826